Below is a geometry-optimized Sr4CaTa3O12 structure, with properties calculated at the PBE-GGA level.

```
Sr4CaTa3O12
1.0
7.154 0.000 0.000
-2.385 6.745 0.000
-2.385 -3.372 5.841
Ta O Sr Ca
3 12 4 1
Direct
0.000 0.500 0.500
0.500 0.500 0.000
0.500 0.000 0.500
0.000 0.266 0.266
0.500 0.750 0.250
0.250 0.750 0.500
0.734 0.734 0.000
0.000 0.734 0.734
0.750 0.250 0.500
0.266 0.266 0.000
0.750 0.500 0.250
0.250 0.500 0.750
0.734 0.000 0.734
0.266 0.000 0.266
0.500 0.250 0.750
0.000 0.000 0.500
0.000 0.500 0.000
0.500 0.000 0.000
0.500 0.500 0.500
0.000 0.000 0.000
```

Output
**Density of states at the Fermi level**: 4.906 states/eV/f.u.
**Calculated volume**: 281.9 Å³ per cell
**DFT total energy**: -162.483 eV for the cell shown
**Formation energy (no corrections)**: -283.2 kJ per mole of atoms
**Space group**: Im-3m
**Theoretical density**: 6630 kg/m3


Below is a geometry-optimized Ta3NbB4 structure, with properties calculated at the PBE-GGA level.

```
Ta3NbB4
1.0
3.253 0.000 0.000
0.000 4.788 -0.553
-1.626 -1.666 6.568
Ta B Nb
3 4 1
Direct
0.803 0.803 0.606
0.000 0.500 0.000
0.197 0.197 0.394
0.366 0.189 0.732
0.634 0.811 0.268
0.634 0.457 0.268
0.366 0.543 0.732
0.500 0.000 0.000
```

Output
**Density of states at the Fermi level**: 3.833 states/eV/f.u.
**Calculated volume**: 99.3 Å³ per cell
**DFT total energy**: -75.834 eV for the cell shown
**Formation energy**: -3.5 eV per formula unit
**Space group**: Immm
**Theoretical density**: 11356 kg/m3